Record 1
Below is a geometry-optimized LiIn2Ir structure, with properties calculated at the PBE-GGA level.

Unit cell a=4.6181 b=6.5225 c=4.6155 alpha=90.00 beta=90.00 gamma=90.00
Closest atoms and distances in Å follow each position.
Space group Pmmn (No. 59, origin choice 2)
Asymmetric unit:
Li 0.2500 0.2500 0.2440  8 In 2.81-2.84
In 0.2500 0.0000 0.7476  4 Li 2.81-2.84, 4 Ir 2.82-2.83
Ir 0.2500 0.7500 0.2469  8 In 2.82-2.83

Properties
Its raw total energy is -4.37 eV/atom. As for the crystal system: orthorhombic. The calculation puts the excess energy over the best structure of this formula in the dataset at 0.000 eV per atom. The calculation puts the density at 10.24 g/cm³.

***

Record 2
Below is a geometry-optimized LiInIr structure, with properties calculated at the PBE-GGA level.

Unit cell a=4.5294 b=4.5346 c=9.3604 alpha=90.00 beta=90.00 gamma=90.00
Closest atoms and distances in Å follow each position.
Space group Pnma (No. 62)
Asymmetric unit:
Li 0.2428 0.2500 0.1770  2 Li 2.64, 2 Ir 2.65, 4 In 2.79-2.83
In 0.2478 0.2500 0.5008  5 Li 2.79-3.03, 5 Ir 2.80-3.02
Ir 0.2479 0.2500 0.8237  2 Li 2.65, 2 Ir 2.65, 4 In 2.80-2.81

Properties
Its raw total energy is -4.76 eV/atom. As for the crystal system: orthorhombic. The calculation puts the density at 10.85 g/cm³.